[1]
DFT (meta-GGA SCAN) results for a crystal of In2Se relaxed with PBEsol.

a = 4.0165 Å, b = 4.0165 Å, c = 5.5866 Å
α = 90.00°, β = 90.00°, γ = 120.00°
Atoms (fractional coordinates):
In1 0.3333 0.6667 0.1880
In2 0.6667 0.3333 0.8120
Se1 0.0000 0.0000 0.5000

ΔE_f (raw) in kJ per mole of atoms: -31.4
Calculated volume in Å³ per atom: 26.0
Space group: P-3m1
Spin magnetization in μB/atom: 0.000


[2]
DFT (meta-GGA SCAN) results for a crystal of HfZn2HgMo relaxed with PBEsol.

a = 4.6440 Å, b = 4.6440 Å, c = 5.0058 Å
α = 90.00°, β = 90.00°, γ = 90.00°
Atoms (fractional coordinates):
Zn1 0.5000 0.0000 0.0000
Zn2 0.0000 0.5000 0.0000
Hf1 0.5000 0.5000 0.5000
Mo1 0.0000 0.0000 0.0000
Hg1 0.0000 0.0000 0.5000

Calculated volume in Å³ per atom: 21.6
Calculated formation energy in eV per atom: 1.08
Space group: P4/mmm
Spin magnetization in μB/atom: 0.000